Density functional theory data (PBE-GGA) for crystalline RbSm2Te3 at its relaxed geometry.

V = 41.022 A^3/atom
Uncorrected energy = -4.53 eV/atom
SG = Cmcm (63)

Cell lengths 8.739, 8.739, 12.009 Å; angles 90.00, 90.00, 147.54 degrees
Positions (direct):
1 Rb 0.257 0.743 0.750
2 Te 0.374 0.626 0.460
3 Sm 0.000 0.000 0.000
4 Te 0.929 0.071 0.750
5 Te 0.071 0.929 0.250
6 Rb 0.743 0.257 0.250
7 Sm 0.468 0.532 0.250
8 Sm 0.532 0.468 0.750
9 Te 0.626 0.374 0.960
10 Te 0.374 0.626 0.040
11 Sm 0.000 0.000 0.500
12 Te 0.626 0.374 0.540

Density functional theory data (PBE-GGA) for crystalline RbSmTe2 at its relaxed geometry.

V = 39.284 A^3/atom
Uncorrected energy = -4.40 eV/atom
SG = R-3m (166)

Cell lengths 8.985, 8.985, 8.985 Å; angles 29.65, 29.65, 29.65 degrees
Positions (direct):
1 Sm 0.500 0.500 0.500
2 Rb 0.000 0.000 0.000
3 Te 0.234 0.234 0.234
4 Te 0.766 0.766 0.766

Density functional theory data (PBE-GGA) for crystalline RbSmTlTe3 at its relaxed geometry.

V = 39.168 A^3/atom
Uncorrected energy = -3.79 eV/atom
SG = Cmcm (63)

Cell lengths 8.546, 8.546, 12.237 Å; angles 90.00, 90.00, 148.27 degrees
Positions (direct):
1 Rb 0.246 0.754 0.750
2 Tl 0.548 0.452 0.750
3 Tl 0.452 0.548 0.250
4 Te 0.369 0.631 0.471
5 Rb 0.754 0.246 0.250
6 Te 0.631 0.369 0.971
7 Te 0.069 0.931 0.250
8 Te 0.931 0.069 0.750
9 Sm 0.000 0.000 0.500
10 Te 0.631 0.369 0.529
11 Te 0.369 0.631 0.029
12 Sm 0.000 0.000 0.000

Density functional theory data (PBE-GGA) for crystalline RbSmTmTe3 at its relaxed geometry.

ΔE to the lowest computed polymorph = 43 meV per atom
V = 38.702 A^3/atom
Uncorrected energy = -4.45 eV/atom
SG = Cmcm (63)

Cell lengths 8.855, 8.855, 10.739 Å; angles 90.00, 90.00, 146.53 degrees
Positions (direct):
1 Rb 0.728 0.272 0.250
2 Te 0.600 0.400 0.750
3 Rb 0.272 0.728 0.750
4 Te 0.112 0.888 0.461
5 Te 0.888 0.112 0.961
6 Sm 0.011 0.989 0.750
7 Te 0.400 0.600 0.250
8 Te 0.112 0.888 0.039
9 Sm 0.989 0.011 0.250
10 Te 0.888 0.112 0.539
11 Tm 0.500 0.500 0.000
12 Tm 0.500 0.500 0.500

Density functional theory data (PBE-GGA) for crystalline RbSmTmTe3 at its relaxed geometry.

ΔE to the lowest computed polymorph = 0 meV per atom
V = 39.746 A^3/atom
Uncorrected energy = -4.49 eV/atom
SG = Cmcm (63)

Cell lengths 8.737, 8.737, 12.010 Å; angles 90.00, 90.00, 148.66 degrees
Positions (direct):
1 Te 0.128 0.872 0.951
2 Te 0.872 0.128 0.049
3 Rb 0.756 0.244 0.750
4 Te 0.872 0.128 0.451
5 Sm 0.500 0.500 0.500
6 Te 0.128 0.872 0.549
7 Tm 0.965 0.035 0.250
8 Tm 0.035 0.965 0.750
9 Te 0.568 0.432 0.250
10 Te 0.432 0.568 0.750
11 Sm 0.500 0.500 0.000
12 Rb 0.244 0.756 0.250

Density functional theory data (PBE-GGA) for crystalline RbSmZnTe3 at its relaxed geometry.

V = 37.679 A^3/atom
Uncorrected energy = -3.80 eV/atom
SG = P2_1/m (11)

Cell lengths 9.584, 4.476, 11.204 Å; angles 90.00, 109.84, 90.00 degrees
Positions (direct):
1 Sm 0.316 0.750 0.863
2 Rb 0.753 0.750 0.719
3 Zn 0.920 0.750 0.388
4 Te 0.079 0.250 0.847
5 Te 0.788 0.250 0.449
6 Rb 0.247 0.250 0.281
7 Te 0.462 0.750 0.156
8 Te 0.921 0.750 0.153
9 Sm 0.684 0.250 0.137
10 Te 0.212 0.750 0.551
11 Te 0.538 0.250 0.844
12 Zn 0.080 0.250 0.612

Density functional theory data (PBE-GGA) for crystalline RbSmZnTe3 at its relaxed geometry.

V = 36.280 A^3/atom
Uncorrected energy = -3.64 eV/atom
SG = C2/m (12)

Cell lengths 10.410, 10.410, 9.500 Å; angles 101.03, 101.03, 25.55 degrees
Positions (direct):
1 Rb 0.139 0.139 0.066
2 Zn 0.468 0.468 0.268
3 Te 0.500 0.500 0.000
4 Te 0.324 0.324 0.648
5 Te 0.676 0.676 0.352
6 Sm 0.832 0.832 0.435
7 Zn 0.532 0.532 0.732
8 Sm 0.168 0.168 0.565
9 Te 0.000 0.000 0.500
10 Rb 0.861 0.861 0.934
11 Te 0.664 0.664 0.789
12 Te 0.336 0.336 0.211

Density functional theory data (PBE-GGA) for crystalline RbSmTh at its relaxed geometry.

ΔE to the lowest computed polymorph = 0 meV per atom
V = 46.409 A^3/atom
Uncorrected energy = -2.92 eV/atom
SG = F-43m (216)

Cell lengths 5.818, 5.818, 5.818 Å; angles 60.00, 60.00, 60.00 degrees
Positions (direct):
1 Rb 0.250 0.250 0.250
2 Th 0.750 0.750 0.750
3 Sm 0.000 0.000 0.000

Density functional theory data (PBE-GGA) for crystalline RbSmTl at its relaxed geometry.

ΔE to the lowest computed polymorph = 0 meV per atom
V = 42.209 A^3/atom
Uncorrected energy = -2.31 eV/atom
SG = F-43m (216)

Cell lengths 5.637, 5.637, 5.637 Å; angles 60.00, 60.00, 60.00 degrees
Positions (direct):
1 Sm 0.750 0.750 0.750
2 Tl 0.000 0.000 0.000
3 Rb 0.250 0.250 0.250

Density functional theory data (PBE-GGA) for crystalline RbSmTm at its relaxed geometry.

ΔE to the lowest computed polymorph = 0 meV per atom
V = 50.454 A^3/atom
Uncorrected energy = -2.17 eV/atom
SG = F-43m (216)

Cell lengths 5.982, 5.982, 5.982 Å; angles 60.00, 60.00, 60.00 degrees
Positions (direct):
1 Tm 0.000 0.000 0.000
2 Rb 0.250 0.250 0.250
3 Sm 0.750 0.750 0.750

Density functional theory data (PBE-GGA) for crystalline RbSm2Y at its relaxed geometry.

V = 38.441 A^3/atom
Uncorrected energy = -3.25 eV/atom
SG = P4/mmm (123)

Cell lengths 4.807, 4.807, 6.656 Å; angles 90.00, 90.00, 90.00 degrees
Positions (direct):
1 Sm 0.000 0.000 0.500
2 Sm 0.500 0.500 0.000
3 Y 0.500 0.500 0.500
4 Rb 0.000 0.000 0.000

Density functional theory data (PBE-GGA) for crystalline RbSmZn at its relaxed geometry.

ΔE to the lowest computed polymorph = 0 meV per atom
V = 37.679 A^3/atom
Uncorrected energy = -1.74 eV/atom
SG = F-43m (216)

Cell lengths 5.427, 5.427, 5.427 Å; angles 60.00, 60.00, 60.00 degrees
Positions (direct):
1 Sm 0.500 0.500 0.500
2 Zn 0.750 0.750 0.750
3 Rb 0.000 0.000 0.000

Density functional theory data (PBE-GGA) for crystalline RbTa3Sn5 at its relaxed geometry.

V = 27.585 A^3/atom
Uncorrected energy = -6.27 eV/atom
SG = P6/mmm (191)

Cell lengths 5.712, 5.712, 8.787 Å; angles 90.00, 90.00, 120.00 degrees
Positions (direct):
1 Sn 0.667 0.333 0.217
2 Rb 0.000 0.000 0.000
3 Sn 0.333 0.667 0.783
4 Ta 0.000 0.500 0.500
5 Ta 0.500 0.500 0.500
6 Sn 0.000 0.000 0.500
7 Sn 0.667 0.333 0.783
8 Ta 0.500 0.000 0.500
9 Sn 0.333 0.667 0.217

Density functional theory data (PBE-GGA) for crystalline RbTaSn at its relaxed geometry.

ΔE to the lowest computed polymorph = 845 meV per atom
V = 34.754 A^3/atom
Uncorrected energy = -3.37 eV/atom
SG = F-43m (216)

Cell lengths 5.283, 5.283, 5.283 Å; angles 60.00, 60.00, 60.00 degrees
Positions (direct):
1 Ta 0.750 0.750 0.750
2 Sn 0.250 0.250 0.250
3 Rb 0.000 0.000 0.000

Density functional theory data (PBE-GGA) for crystalline RbTaSn at its relaxed geometry.

ΔE to the lowest computed polymorph = 0 meV per atom
V = 30.636 A^3/atom
Uncorrected energy = -4.22 eV/atom
SG = F-43m (216)

Cell lengths 5.065, 5.065, 5.065 Å; angles 60.00, 60.00, 60.00 degrees
Positions (direct):
1 Ta 0.000 0.000 0.000
2 Sn 0.750 0.750 0.750
3 Rb 0.250 0.250 0.250

Density functional theory data (PBE-GGA) for crystalline RbTcSn at its relaxed geometry.

ΔE to the lowest computed polymorph = 741 meV per atom
V = 36.736 A^3/atom
Uncorrected energy = -3.17 eV/atom
SG = F-43m (216)

Cell lengths 5.382, 5.382, 5.382 Å; angles 60.00, 60.00, 60.00 degrees
Positions (direct):
1 Sn 0.250 0.250 0.250
2 Tc 0.750 0.750 0.750
3 Rb 0.000 0.000 0.000

Density functional theory data (PBE-GGA) for crystalline RbTcSn at its relaxed geometry.

ΔE to the lowest computed polymorph = 0 meV per atom
V = 28.404 A^3/atom
Uncorrected energy = -3.91 eV/atom
SG = F-43m (216)

Cell lengths 4.939, 4.939, 4.939 Å; angles 60.00, 60.00, 60.00 degrees
Positions (direct):
1 Sn 0.750 0.750 0.750
2 Tc 0.000 0.000 0.000
3 Rb 0.250 0.250 0.250

Density functional theory data (PBE-GGA) for crystalline RbTmSnTe3 at its relaxed geometry.

ΔE to the lowest computed polymorph = 0 meV per atom
V = 39.143 A^3/atom
Uncorrected energy = -4.13 eV/atom
SG = Pnma (62)

Cell lengths 17.025, 4.414, 12.501 Å; angles 90.00, 90.00, 90.00 degrees
Positions (direct):
1 Tm 0.010 0.250 0.853
2 Te 0.365 0.750 0.172
3 Rb 0.727 0.750 0.077
4 Te 0.104 0.750 0.962
5 Sn 0.536 0.750 0.917
6 Te 0.587 0.250 0.239
7 Te 0.865 0.750 0.328
8 Sn 0.036 0.750 0.583
9 Te 0.635 0.250 0.828
10 Te 0.604 0.750 0.538
11 Tm 0.990 0.750 0.147
12 Te 0.413 0.750 0.761
13 Sn 0.464 0.250 0.083
14 Te 0.087 0.250 0.261
15 Rb 0.273 0.250 0.923
16 Tm 0.510 0.250 0.647
17 Te 0.396 0.250 0.462
18 Te 0.135 0.250 0.672
19 Te 0.896 0.250 0.038
20 Te 0.913 0.750 0.739
21 Rb 0.227 0.750 0.423
22 Sn 0.964 0.250 0.417
23 Tm 0.490 0.750 0.353
24 Rb 0.773 0.250 0.577

Density functional theory data (PBE-GGA) for crystalline RbTmSnTe3 at its relaxed geometry.

ΔE to the lowest computed polymorph = 142 meV per atom
V = 41.197 A^3/atom
Uncorrected energy = -3.99 eV/atom
SG = Cmcm (63)

Cell lengths 8.696, 8.696, 12.274 Å; angles 90.00, 90.00, 147.81 degrees
Positions (direct):
1 Te 0.871 0.129 0.441
2 Rb 0.752 0.248 0.750
3 Sn 0.500 0.500 0.500
4 Rb 0.248 0.752 0.250
5 Te 0.570 0.430 0.250
6 Te 0.129 0.871 0.941
7 Tm 0.968 0.032 0.250
8 Tm 0.032 0.968 0.750
9 Sn 0.500 0.500 0.000
10 Te 0.871 0.129 0.059
11 Te 0.430 0.570 0.750
12 Te 0.129 0.871 0.559

Density functional theory data (PBE-GGA) for crystalline RbTmSnTe3 at its relaxed geometry.

ΔE to the lowest computed polymorph = 120 meV per atom
V = 40.122 A^3/atom
Uncorrected energy = -4.01 eV/atom
SG = Cmcm (63)

Cell lengths 8.995, 8.995, 12.707 Å; angles 90.00, 90.00, 152.08 degrees
Positions (direct):
1 Te 0.879 0.121 0.995
2 Tm 0.500 0.500 0.000
3 Sn 0.106 0.894 0.250
4 Te 0.508 0.492 0.750
5 Te 0.121 0.879 0.005
6 Te 0.121 0.879 0.495
7 Tm 0.500 0.500 0.500
8 Sn 0.894 0.106 0.750
9 Rb 0.793 0.207 0.250
10 Te 0.879 0.121 0.505
11 Te 0.492 0.508 0.250
12 Rb 0.207 0.793 0.750

Density functional theory data (PBE-GGA) for crystalline RbZrSnTe3 at its relaxed geometry.

V = 40.137 A^3/atom
Uncorrected energy = -4.41 eV/atom
SG = Cmcm (63)

Cell lengths 8.568, 8.568, 12.756 Å; angles 90.00, 90.00, 149.04 degrees
Positions (direct):
1 Te 0.060 0.940 0.250
2 Te 0.369 0.631 0.432
3 Rb 0.742 0.258 0.250
4 Sn 0.000 0.000 0.000
5 Zr 0.459 0.541 0.250
6 Te 0.940 0.060 0.750
7 Te 0.631 0.369 0.932
8 Zr 0.541 0.459 0.750
9 Sn 0.000 0.000 0.500
10 Te 0.631 0.369 0.568
11 Rb 0.258 0.742 0.750
12 Te 0.369 0.631 0.068

Density functional theory data (PBE-GGA) for crystalline RbTl3Zn2Sn2 at its relaxed geometry.

V = 30.901 A^3/atom
Uncorrected energy = -2.29 eV/atom
SG = Pm (6)

Cell lengths 6.263, 6.009, 7.085 Å; angles 90.00, 112.01, 90.00 degrees
Positions (direct):
1 Tl 0.971 0.500 0.317
2 Rb 0.031 0.000 0.642
3 Sn 0.244 0.000 0.193
4 Zn 0.475 0.727 0.502
5 Tl 0.681 0.000 0.005
6 Tl 0.350 0.500 0.018
7 Sn 0.771 0.500 0.822
8 Zn 0.475 0.273 0.502

Density functional theory data (PBE-GGA) for crystalline RbUSn at its relaxed geometry.

V = 38.458 A^3/atom
Uncorrected energy = -4.33 eV/atom
SG = F-43m (216)

Cell lengths 5.464, 5.464, 5.464 Å; angles 60.00, 60.00, 60.00 degrees
Positions (direct):
1 U 0.000 0.000 0.000
2 Sn 0.750 0.750 0.750
3 Rb 0.250 0.250 0.250

Density functional theory data (PBE-GGA) for crystalline RbZr3Sn5 at its relaxed geometry.

V = 28.140 A^3/atom
Uncorrected energy = -5.44 eV/atom
SG = P6/mmm (191)

Cell lengths 6.156, 6.156, 7.717 Å; angles 90.00, 90.00, 120.00 degrees
Positions (direct):
1 Sn 0.333 0.667 0.815
2 Sn 0.333 0.667 0.185
3 Sn 0.000 0.000 0.500
4 Sn 0.667 0.333 0.815
5 Zr 0.000 0.500 0.500
6 Sn 0.667 0.333 0.185
7 Zr 0.500 0.500 0.500
8 Rb 0.000 0.000 0.000
9 Zr 0.500 0.000 0.500